1.
The following is a PBEsol calculation of a geometry-optimized Hf2TiIF structure, from the Alexandria database.

Calculated values
DFT total energy = -6.8249 eV/atom
Formation energy (no corrections) = -0.220 eV/atom
Calculated volume = 17.6 Å³/atom
Space group = No. 123

a = 4.657 Å, b = 4.657 Å, c = 4.054 Å
α = 90.00°, β = 90.00°, γ = 90.00°
Fractional positions:
Hf 0.000 0.500 0.000
Hf 0.500 0.000 0.000
Ti 0.000 0.000 0.500
I 0.500 0.500 0.500
F 0.000 0.000 0.000

***

2.
The following is a PBEsol calculation of a geometry-optimized TaTiMn2 structure, from the Alexandria database.

Calculated values
DFT total energy = -10.3658 eV/atom
Calculated formation energy = -267 meV per atom
Calculated volume = 13.3 Å³/atom
Space group = No. 225

a = 4.219 Å, b = 4.219 Å, c = 4.219 Å
α = 60.00°, β = 60.00°, γ = 60.00°
Fractional positions:
Ta 0.000 0.000 0.000
Ti 0.500 0.500 0.500
Mn 0.250 0.250 0.250
Mn 0.750 0.750 0.750

***

3.
The following is a PBEsol calculation of a geometry-optimized HfCuSeBr2 structure, from the Alexandria database.

Calculated values
DFT total energy = -4.2547 eV/atom
Formation energy (no corrections) = 0.231 eV/atom
Calculated volume = 21.7 Å³/atom
Space group = No. 123

a = 4.691 Å, b = 4.691 Å, c = 4.931 Å
α = 90.00°, β = 90.00°, γ = 90.00°
Fractional positions:
Hf 0.000 0.000 0.000
Cu 0.500 0.500 0.500
Se 0.500 0.500 0.000
Br 0.000 0.500 0.500
Br 0.500 0.000 0.500

***

4.
The following is a PBEsol calculation of a geometry-optimized ScBeBr structure, from the Alexandria database.

Calculated values
DFT total energy = -3.7890 eV/atom
Formation energy (no corrections) = 0.369 eV/atom
Calculated volume = 21.5 Å³/atom
Excess energy over the best structure of this formula in the dataset = 0.4861 eV per atom
Space group = No. 216

a = 4.505 Å, b = 4.505 Å, c = 4.505 Å
α = 60.00°, β = 60.00°, γ = 60.00°
Fractional positions:
Sc 0.000 0.000 0.000
Be 0.750 0.750 0.750
Br 0.250 0.250 0.250

***

Q: The highest DFT total energy belongs to which entry?
A: ScBeBr